Below is a relaxed structure of MnFeRu4, with properties calculated at the PBE level.

total energy	-8.5674	eV/atom

CIF file:
```
data_MnFeRu4
_cell_length_a 7.1430
_cell_length_b 7.1430
_cell_length_c 7.1430
_cell_angle_alpha 90.00
_cell_angle_beta 90.00
_cell_angle_gamma 90.00
_symmetry_space_group_name_H-M 'F -4 3 m'
_symmetry_Int_Tables_number 216
_symmetry_space_group_name_Hall 'F -4 2 3'
loop_
_atom_site_label
_atom_site_type_symbol
_atom_site_fract_x
_atom_site_fract_y
_atom_site_fract_z
Mn1 Mn 0.0000 0.0000 0.0000
Fe1 Fe 0.2500 0.2500 0.2500
Ru1 Ru 0.1251 0.1251 0.6251
```

***

Below is a relaxed structure of Li6Tl2Sn, with properties calculated at the PBE level.

energy above the lowest structure with this stoichiometry	0.033	eV per atom

CIF file:
```
data_Li6Tl2Sn
_cell_length_a 8.2137
_cell_length_b 8.2137
_cell_length_c 3.0973
_cell_angle_alpha 90.00
_cell_angle_beta 90.00
_cell_angle_gamma 120.00
_symmetry_space_group_name_H-M 'P -6 2 m'
_symmetry_Int_Tables_number 189
_symmetry_space_group_name_Hall 'P -6 -2'
loop_
_atom_site_label
_atom_site_type_symbol
_atom_site_fract_x
_atom_site_fract_y
_atom_site_fract_z
Li1 Li 0.0000 0.2999 0.0000
Li2 Li 0.0000 0.6427 0.5000
Tl1 Tl 0.3333 0.6667 0.0000
Sn1 Sn 0.0000 0.0000 0.5000
```